# 1
A plane-wave DFT calculation with PBE was carried out for a relaxed structure of LiFeReGe.

a = 5.811 Å, b = 5.811 Å, c = 5.811 Å
α = 90.00°, β = 90.00°, γ = 90.00°
Space group F-43m (No. 216)
Inequivalent atoms, fractional coordinates:
Li: 0.000 0.000 0.000 (multiplicity 4)
Fe: 0.000 0.000 0.500 (multiplicity 4)
Re: 0.250 0.250 0.750 (multiplicity 4)
Ge: 0.250 0.250 0.250 (multiplicity 4)

total DFT energy (no corrections) = -6.67 eV per atom

=====

# 2
A plane-wave DFT calculation with PBE was carried out for a relaxed structure of NbCd3Cl6.

a = 5.8382 Å, b = 5.8382 Å, c = 8.3435 Å
α = 90.00°, β = 90.00°, γ = 120.00°
Space group P-31m (No. 162)
Inequivalent atoms, fractional coordinates:
Nb: 0.0000 0.0000 0.0000 (multiplicity 1)
Cd: 0.0000 0.0000 0.5000 (multiplicity 1)
Cd: 0.3333 0.6667 0.5000 (multiplicity 2)
Cl: 0.0000 0.3264 0.8301 (multiplicity 6)

total DFT energy (no corrections) = -3.14 eV per atom

=====

# 3
A plane-wave DFT calculation with PBE was carried out for a relaxed structure of MgCdSnPt.

a = 6.807 Å, b = 6.807 Å, c = 6.807 Å
α = 90.00°, β = 90.00°, γ = 90.00°
Space group F-43m (No. 216)
Inequivalent atoms, fractional coordinates:
Mg: 0.000 0.000 0.000 (multiplicity 4)
Cd: 0.250 0.250 0.750 (multiplicity 4)
Sn: 0.000 0.000 0.500 (multiplicity 4)
Pt: 0.250 0.250 0.250 (multiplicity 4)

total DFT energy (no corrections) = -3.37 eV per atom

=====

Among the records above, which one has the lowest total DFT energy (no corrections)?
LiFeReGe